Pm5NdEr3: relaxed, GGA-PBE.

It has space group C2/c (No. 15), with a = 16.4537 Å, b = 6.7613 Å, c = 11.5989 Å, α = 90.00°, β = 110.14° and γ = 90.00°. The inequivalent atoms are Pm at (0.0000, 0.1876, 0.2500), Pm at (0.1114, 0.0052, 0.5519), Pm at (0.1714, 0.4109, 0.3462), Nd at (0.0000, 0.2580, 0.7500), Er at (0.0000, 0.5000, 0.0000) and Er at (0.2399, 0.0987, 0.8731).

For the calculated formation energy, the calculation gives 176 meV/atom. As for the energy above the most stable polymorph in this dataset: 0 kJ/mol of formula units.

Pm3Nd7Er: relaxed, GGA-PBE.

It has space group P2_1/m (No. 11), with a = 7.1247 Å, b = 11.2892 Å, c = 10.2976 Å, α = 90.00°, β = 109.82° and γ = 90.00°. The inequivalent atoms are Pm at (0.0000, 0.0000, 0.0000), Pm at (0.2472, 0.2500, 0.4739), Pm at (0.2736, 0.7500, 0.5167), Nd at (0.0933, 0.0449, 0.6824), Nd at (0.1677, 0.7500, 0.8228), Nd at (0.3018, 0.2500, 0.1015), Nd at (0.3532, 0.7500, 0.1701), Nd at (0.4160, 0.0096, 0.3271) and Er at (0.5000, 0.0000, 0.0000).

For the calculated formation energy, the calculation gives 122 meV/atom. As for the energy above the most stable polymorph in this dataset: 0 kJ/mol of formula units.

Pm3Nd4Er2: relaxed, GGA-PBE.

It has space group P-1 (No. 2), with a = 6.2842 Å, b = 6.2853 Å, c = 9.6098 Å, α = 90.00°, β = 108.98° and γ = 119.94°. The inequivalent atoms are Pm at (0.0000, 0.0000, 0.0000), Pm at (0.4449, 0.5562, 0.6649), Nd at (0.1118, 0.8886, 0.6655), Nd at (0.3311, 0.6653, 0.0000) and Er at (0.2240, 0.7792, 0.3352).

For the calculated formation energy, the calculation gives 15 meV/atom. As for the energy above the most stable polymorph in this dataset: 0 kJ/mol of formula units.

Pm2Nd3Er3: relaxed, GGA-PBE.

It has space group Immm (No. 71), with a = 5.0851 Å, b = 5.1139 Å, c = 20.4039 Å, α = 90.00°, β = 90.00° and γ = 90.00°. The inequivalent atoms are Pm at (0.0000, 0.0000, 0.2495), Nd at (0.0000, 0.0000, 0.0000), Nd at (0.0000, 0.5000, 0.1234), Er at (0.0000, 0.0000, 0.5000) and Er at (0.0000, 0.5000, 0.3754).

For the calculated formation energy, the calculation gives 19 meV/atom. As for the energy above the most stable polymorph in this dataset: 0 kJ/mol of formula units.

| no. | total magnetization (μB/f.u.) |
| --- | --- |
| 1 | 0.000 |
| 2 | 0.001 |
| 3 | 0.000 |
| 4 | 0.001 |